Record 1
A plane-wave DFT calculation with PBE+U was carried out for a geometry-optimized Li3Mn2V5O12 structure.

Unit cell a=5.2304 b=5.2304 c=9.8483 alpha=94.72 beta=94.72 gamma=118.74
Sites, in units of the cell vectors:
Li 0.0000 0.0000 0.0000
Li 0.0712 0.3914 0.2470
Li 0.6086 0.9288 0.7530
Mn 0.1609 0.8391 0.5000
Mn 0.6739 0.3261 0.0000
V 0.3456 0.6544 0.0000
V 0.4233 0.0786 0.2460
V 0.4978 0.5022 0.5000
V 0.8391 0.1609 0.5000
V 0.9214 0.5767 0.7540
O 0.1183 0.6975 0.1264
O 0.1555 0.1584 0.3799
O 0.1827 0.5234 0.6149
O 0.3025 0.8817 0.8736
O 0.3819 0.3382 0.1072
O 0.4766 0.8173 0.3851
O 0.5834 0.2403 0.6238
O 0.6618 0.6181 0.8928
O 0.6869 0.0336 0.1078
O 0.7597 0.4166 0.3762
O 0.8416 0.8445 0.6201
O 0.9664 0.3131 0.8922

magnetization: 18.0 μB per formula unit
SG: No. 5

=====

Record 2
A plane-wave DFT calculation with PBE+U was carried out for a geometry-optimized Li2Mn3VO8 structure.

Unit cell a=5.9213 b=5.9213 c=5.9213 alpha=60.65 beta=60.65 gamma=60.65
Sites, in units of the cell vectors:
Li 0.1228 0.1228 0.1228
Li 0.8772 0.8772 0.8772
Mn 0.0000 0.5000 0.5000
Mn 0.5000 0.0000 0.5000
Mn 0.5000 0.5000 0.0000
V 0.5000 0.5000 0.5000
O 0.2587 0.2587 0.2587
O 0.2635 0.2635 0.7079
O 0.2635 0.7079 0.2635
O 0.2921 0.7365 0.7365
O 0.7079 0.2635 0.2635
O 0.7365 0.2921 0.7365
O 0.7365 0.7365 0.2921
O 0.7413 0.7413 0.7413

magnetization: 12.0 μB per formula unit
SG: No. 166

=====

Record 3
A plane-wave DFT calculation with PBE+U was carried out for a geometry-optimized Li4Mn3VO8 structure.

Unit cell a=5.9142 b=5.9142 c=5.9142 alpha=59.47 beta=59.47 gamma=59.47
Sites, in units of the cell vectors:
Li 0.0000 0.0000 0.0000
Li 0.0000 0.5000 0.5000
Li 0.5000 0.0000 0.5000
Li 0.5000 0.5000 0.0000
Mn 0.0000 0.0000 0.5000
Mn 0.0000 0.5000 0.0000
Mn 0.5000 0.0000 0.0000
V 0.5000 0.5000 0.5000
O 0.2369 0.7409 0.7483
O 0.2418 0.2418 0.2418
O 0.2517 0.7631 0.2591
O 0.2591 0.2517 0.7631
O 0.7409 0.7483 0.2369
O 0.7483 0.2369 0.7409
O 0.7582 0.7582 0.7582
O 0.7631 0.2591 0.2517

magnetization: 8.0 μB per formula unit
SG: No. 148

=====

Record 4
A plane-wave DFT calculation with PBE+U was carried out for a geometry-optimized Li2MnVO4 structure.

Unit cell a=5.8608 b=5.8608 c=6.0884 alpha=118.55 beta=118.55 gamma=90.24
Sites, in units of the cell vectors:
Li 0.0000 0.0000 0.0000
Li 0.0000 0.0000 0.5000
Li 0.0000 0.5000 0.0000
Li 0.5000 0.0000 0.5000
Mn 0.0000 0.5000 0.5000
Mn 0.5000 0.0000 0.0000
V 0.5000 0.5000 0.0000
V 0.5000 0.5000 0.5000
O 0.2392 0.7272 0.4914
O 0.2583 0.2788 0.5276
O 0.2728 0.7608 0.0086
O 0.2788 0.2583 0.0276
O 0.7212 0.7417 0.9724
O 0.7272 0.2392 0.9914
O 0.7417 0.7212 0.4724
O 0.7608 0.2728 0.5086

magnetization: 6.0 μB per formula unit
SG: No. 15

=====

Record 5
A plane-wave DFT calculation with PBE+U was carried out for a geometry-optimized Li3MnV2O6 structure.

Unit cell a=6.9131 b=6.9131 c=5.9263 alpha=101.86 beta=101.86 gamma=24.56
Sites, in units of the cell vectors:
Li 0.0000 0.0000 0.0000
Li 0.3275 0.3275 0.6589
Li 0.6725 0.6725 0.3411
Mn 0.0000 0.0000 0.5000
V 0.3314 0.3314 0.1681
V 0.6686 0.6686 0.8319
O 0.1680 0.1680 0.5965
O 0.1720 0.1720 0.0727
O 0.4891 0.4891 0.2639
O 0.5109 0.5109 0.7361
O 0.8280 0.8280 0.9273
O 0.8320 0.8320 0.4035

magnetization: 8.0 μB per formula unit
SG: No. 12

=====

Record 6
A plane-wave DFT calculation with PBE+U was carried out for a geometry-optimized Li2MnV2O6 structure.

Unit cell a=5.8737 b=6.5770 c=6.8812 alpha=72.38 beta=76.44 gamma=64.05
Sites, in units of the cell vectors:
Li 0.0827 0.1540 0.3405
Li 0.2574 0.5008 0.9984
Li 0.7426 0.4992 0.0016
Li 0.9173 0.8460 0.6595
Mn 0.0000 0.0000 0.0000
Mn 0.5000 0.0000 0.0000
V 0.1856 0.3139 0.6565
V 0.3284 0.6597 0.3377
V 0.6716 0.3403 0.6623
V 0.8144 0.6861 0.3435
O 0.0229 0.1048 0.6593
O 0.1366 0.2302 0.9788
O 0.1894 0.4456 0.3374
O 0.3056 0.5642 0.6465
O 0.3607 0.7560 0.0301
O 0.4510 0.9000 0.3065
O 0.5490 0.1000 0.6935
O 0.6393 0.2440 0.9699
O 0.6944 0.4358 0.3535
O 0.8106 0.5544 0.6626
O 0.8634 0.7698 0.0212
O 0.9771 0.8952 0.3407

magnetization: 6.0 μB per formula unit
SG: No. 2

=====

Record 7
A plane-wave DFT calculation with PBE+U was carried out for a geometry-optimized Li5Mn3V2O10 structure.

Unit cell a=5.2086 b=5.2596 c=7.8970 alpha=107.89 beta=100.48 gamma=101.86
Sites, in units of the cell vectors:
Li 0.0000 0.0000 0.0000
Li 0.1196 0.2095 0.7234
Li 0.2984 0.5995 0.1019
Li 0.7016 0.4005 0.8981
Li 0.8804 0.7905 0.2766
Mn 0.1932 0.3884 0.3968
Mn 0.5000 0.0000 0.5000
Mn 0.8068 0.6116 0.6032
V 0.3967 0.7948 0.8125
V 0.6033 0.2052 0.1875
O 0.0793 0.6162 0.8463
O 0.1795 0.8110 0.5646
O 0.2886 0.0081 0.2622
O 0.3625 0.1725 0.9590
O 0.4488 0.4275 0.6657
O 0.5512 0.5725 0.3343
O 0.6375 0.8275 0.0410
O 0.7114 0.9919 0.7378
O 0.8205 0.1890 0.4354
O 0.9207 0.3838 0.1537

magnetization: 16.0 μB per formula unit
SG: No. 2

=====

Record 8
A plane-wave DFT calculation with PBE+U was carried out for a geometry-optimized Li2MnV3O8 structure.

Unit cell a=6.0256 b=6.0256 c=6.0256 alpha=59.41 beta=59.41 gamma=59.41
Sites, in units of the cell vectors:
Li 0.0000 0.0000 0.0000
Li 0.3805 0.3805 0.3805
Mn 0.6222 0.6222 0.6222
V 0.0103 0.4948 0.9961
V 0.4948 0.9961 0.0103
V 0.9961 0.0103 0.4948
O 0.2057 0.7682 0.7405
O 0.2352 0.2654 0.7929
O 0.2420 0.2420 0.2420
O 0.2654 0.7929 0.2352
O 0.7405 0.2057 0.7682
O 0.7620 0.7620 0.7620
O 0.7682 0.7405 0.2057
O 0.7929 0.2352 0.2654

magnetization: 8.0 μB per formula unit
SG: No. 146

=====

E_tot for the records above, in order: -160.0; -97.7; -104.0; -108.3; -81.8; -153.5; -135.2; -101.6 eV for the cell shown